Record 1
Density functional theory data (PBE) for a relaxed structure of CaTb6Pm4.

The space group is I-42m (No. 121) and the conventional cell measures 7.831, 7.831 and 13.108 Å, with angles of 90.00, 90.00 and 90.00 degrees. Symmetry generates all atoms from Ca at (0.000, 0.000, 0.000), Tb at (0.000, 0.500, 0.000), Tb at (0.161, 0.161, 0.423) and Pm at (0.249, 0.249, 0.190).

The formation energy is 0.38 eV per atom.

=====

Record 2
Density functional theory data (PBE) for a relaxed structure of FeCo.

The space group is F-43m (No. 216) and the conventional cell measures 4.889, 4.889 and 4.889 Å, with angles of 90.00, 90.00 and 90.00 degrees. Symmetry generates all atoms from Fe at (0.000, 0.000, 0.000) and Co at (0.250, 0.250, 0.750).

The formation energy is 1.30 eV per atom.

=====

Record 3
Density functional theory data (PBE) for a relaxed structure of GdGaAg.

The space group is I4mm (No. 107) and the conventional cell measures 3.406, 3.406 and 11.135 Å, with angles of 90.00, 90.00 and 90.00 degrees. Symmetry generates all atoms from Gd at (0.000, 0.000, 0.000), Ga at (0.000, 0.000, 0.322) and Ag at (0.000, 0.000, 0.692).

The formation energy is -0.30 eV per atom.

=====

Record 4
Density functional theory data (PBE) for a relaxed structure of Hf12Fe6Hg.

The space group is Im-3 (No. 204) and the conventional cell measures 8.912, 8.912 and 8.912 Å, with angles of 90.00, 90.00 and 90.00 degrees. Symmetry generates all atoms from Hf at (0.000, 0.194, 0.294), Fe at (0.000, 0.377, 0.500) and Hg at (0.000, 0.000, 0.000).

The formation energy is -0.13 eV per atom.

=====

Record 5
Density functional theory data (PBE) for a relaxed structure of HfTi3Sb.

The space group is Pm-3m (No. 221) and the conventional cell measures 4.948, 4.948 and 4.948 Å, with angles of 90.00, 90.00 and 90.00 degrees. Symmetry generates all atoms from Hf at (0.000, 0.000, 0.000), Ti at (0.000, 0.500, 0.500) and Sb at (0.500, 0.500, 0.500).

The energy above the lowest structure with this stoichiometry is 94.54 kJ per mole of atoms. The uncorrected formation energy is 0.793 eV per atom.

=====

Record 6
Density functional theory data (PBE) for a relaxed structure of RbU2Te4.

The space group is Cmcm (No. 63) and the conventional cell measures 4.486, 14.922 and 15.521 Å, with angles of 90.00, 90.00 and 90.00 degrees. Symmetry generates all atoms from Rb at (0.000, 0.103, 0.250), U at (0.000, 0.366, 0.062), Te at (0.000, 0.000, 0.000), Te at (0.000, 0.265, 0.611) and Te at (0.000, 0.414, 0.250).

The energy above the lowest structure with this stoichiometry is 0.69 kJ per mole of atoms. The uncorrected formation energy is -0.727 eV per atom.